Record 1
Here is TiTl3Br after structural relaxation from the Alexandria database. Energies are from PBE.

```
data_TiTl3Br
_cell_length_a 5.8614
_cell_length_b 5.8614
_cell_length_c 5.8614
_cell_angle_alpha 90.00
_cell_angle_beta 90.00
_cell_angle_gamma 90.00
_symmetry_space_group_name_H-M 'P m -3 m'
_symmetry_Int_Tables_number 221
_symmetry_space_group_name_Hall '-P 4 2 3'
loop_
_atom_site_label
_atom_site_type_symbol
_atom_site_fract_x
_atom_site_fract_y
_atom_site_fract_z
_atom_site_occupancy
Ti1 Ti 0.0000 0.0000 0.0000 1
Tl1 Tl 0.0000 0.5000 0.5000 1
Br1 Br 0.5000 0.5000 0.5000 1
```

Summary:
The density of states at the Fermi level comes out at 10.4 states/eV/cell. The formation energy (no corrections) comes out at 824 meV/atom. Its distance to the lowest polymorph of the same formula is 604 meV/atom. Its total energy is -12.55 eV/cell.

=====

Record 2
Here is PuZrTiOs after structural relaxation from the Alexandria database. Energies are from PBE.

```
data_PuZrTiOs
_cell_length_a 6.6532
_cell_length_b 6.6532
_cell_length_c 6.6532
_cell_angle_alpha 90.00
_cell_angle_beta 90.00
_cell_angle_gamma 90.00
_symmetry_space_group_name_H-M 'F -4 3 m'
_symmetry_Int_Tables_number 216
_symmetry_space_group_name_Hall 'F -4 2 3'
loop_
_atom_site_label
_atom_site_type_symbol
_atom_site_fract_x
_atom_site_fract_y
_atom_site_fract_z
_atom_site_occupancy
Pu1 Pu 0.0000 0.0000 0.0000 1
Zr1 Zr 0.2500 0.2500 0.7500 1
Ti1 Ti 0.2500 0.2500 0.2500 1
Os1 Os 0.0000 0.0000 0.5000 1
```

Summary:
The density of states at the Fermi level comes out at 45.6 states/eV/cell. The calculation puts the formation enthalpy at 0 K at 0.033 eV/f.u. Its total energy is -167.89 eV/cell.

=====

Record 3
Here is Ba6In2CuN after structural relaxation from the Alexandria database. Energies are from PBE.

```
data_Ba6In2CuN
_cell_length_a 8.1725
_cell_length_b 8.2064
_cell_length_c 8.2873
_cell_angle_alpha 118.67
_cell_angle_beta 91.13
_cell_angle_gamma 119.50
_symmetry_space_group_name_H-M 'P -1'
_symmetry_Int_Tables_number 2
_symmetry_space_group_name_Hall '-P 1'
loop_
_atom_site_label
_atom_site_type_symbol
_atom_site_fract_x
_atom_site_fract_y
_atom_site_fract_z
_atom_site_occupancy
Ba1 Ba 0.1931 0.4646 0.1848 1
Ba2 Ba 0.2236 0.0784 0.3146 1
Ba3 Ba 0.2841 0.0046 0.8194 1
In1 In 0.2549 0.5059 0.7630 1
Cu1 Cu 0.5000 0.0000 0.5000 1
N1 N 0.0000 0.0000 0.0000 1
```

Summary:
The density of states at the Fermi level comes out at 10.0 states/eV/cell. The formation energy (no corrections) comes out at -248 meV/atom. Its total energy is -31.92 eV/cell.